No. 1
VASP calculation (PBE) on an optimized crystal structure of LiMn2Rh.

E_tot in eV per atom: -6.7758
Formation energy from the elements in meV/atom: 125

Cell: 2.840 3.823 8.386 Å, 90.00 90.00 90.00°
Space group Immm (No. 71)
One atom of each set of equivalent atoms:
Li1 0.000 0.000 0.000
Mn1 0.000 0.500 0.252
Rh1 0.000 0.000 0.500

=====

No. 2
VASP calculation (PBE) on an optimized crystal structure of LiMnRh2.

E_tot in eV per atom: -6.4909
Formation energy from the elements in meV/atom: -44

Cell: 2.727 3.877 5.111 Å, 90.00 90.00 90.00°
Space group Pmm2 (No. 25)
One atom of each set of equivalent atoms:
Li1 0.000 0.000 0.000
Mn1 0.500 0.500 0.265
Rh1 0.000 0.000 0.500
Rh2 0.500 0.500 0.773

=====

No. 3
VASP calculation (PBE) on an optimized crystal structure of LiMnRh2.

E_tot in eV per atom: -6.1857
Formation energy from the elements in meV/atom: 261

Cell: 6.577 6.577 5.365 Å, 90.00 90.00 90.00°
Space group I-42d (No. 122)
One atom of each set of equivalent atoms:
Li1 0.000 0.000 0.000
Mn1 0.000 0.000 0.500
Rh1 0.241 0.250 0.625

=====

No. 4
VASP calculation (PBE) on an optimized crystal structure of LiMnRh2.

E_tot in eV per atom: -6.5045
Formation energy from the elements in meV/atom: -58

Cell: 2.907 4.556 8.369 Å, 90.00 90.00 90.00°
Space group Immm (No. 71)
One atom of each set of equivalent atoms:
Li1 0.000 0.000 0.000
Mn1 0.000 0.000 0.500
Rh1 0.000 0.500 0.242